<i>
First-principles (PBE) data for a relaxed NiOsW crystal, as listed in the Alexandria database.

The space group is F-43m (No. 216) and the conventional cell measures 5.850, 5.850 and 5.850 Å, with angles of 90.00, 90.00 and 90.00 degrees. The inequivalent atoms are Ni at (0.000, 0.000, 0.000), Os at (0.000, 0.000, 0.500) and W at (0.250, 0.250, 0.750).

The total magnetization is 0.0 μB per cell.

***

<ii>
First-principles (PBE) data for a relaxed NiOsW crystal, as listed in the Alexandria database.

The space group is I4mm (No. 107) and the conventional cell measures 3.181, 3.181 and 8.291 Å, with angles of 90.00, 90.00 and 90.00 degrees. The inequivalent atoms are Ni at (0.000, 0.000, 0.000), Os at (0.000, 0.000, 0.674) and W at (0.000, 0.000, 0.344).

The total magnetization is 0.0 μB per cell.

***

<iii>
First-principles (PBE) data for a relaxed NiOsW crystal, as listed in the Alexandria database.

The space group is F-43m (No. 216) and the conventional cell measures 5.867, 5.867 and 5.867 Å, with angles of 90.00, 90.00 and 90.00 degrees. The inequivalent atoms are Ni at (0.000, 0.000, 0.000), Os at (0.250, 0.250, 0.250) and W at (0.000, 0.000, 0.500).

The total magnetization is 0.0 μB per cell.

***

<iv>
First-principles (PBE) data for a relaxed NiOsW crystal, as listed in the Alexandria database.

The space group is Imm2 (No. 44) and the conventional cell measures 2.689, 3.871 and 8.036 Å, with angles of 90.00, 90.00 and 90.00 degrees. The inequivalent atoms are Ni at (0.000, 0.000, 0.000), Os at (0.000, 0.000, 0.661) and W at (0.000, 0.000, 0.331).

The total magnetization is 0.0 μB per cell.

***

Taking the most stable structure as the zero point, the relative energies in meV per atom are <i> 488; <ii> 49; <iii> 559; <iv> 0.

***

<i>
First-principles (PBE) data for a relaxed NiOsW crystal, as listed in the Alexandria database.

The space group is C2/m (No. 12) and the conventional cell measures 7.738, 4.493 and 5.161 Å, with angles of 90.00, 106.05 and 90.00 degrees. The inequivalent atoms are Ni at (0.021, 0.000, 0.242), Os at (0.209, 0.500, 0.340) and W at (0.139, 0.500, 0.827).

The total magnetization is 0.0 μB per cell.

***

<ii>
First-principles (PBE) data for a relaxed NiOsW crystal, as listed in the Alexandria database.

The space group is Cmcm (No. 63) and the conventional cell measures 2.770, 13.805 and 4.326 Å, with angles of 90.00, 90.00 and 90.00 degrees. The inequivalent atoms are Ni at (0.000, 0.054, 0.250), Os at (0.000, 0.280, 0.750) and W at (0.000, 0.395, 0.250).

The total magnetization is 0.0 μB per cell.

***

Taking the most stable structure as the zero point, the relative energies in meV per atom are <i> 153; <ii> 0.

***

<i>
First-principles (PBE) data for a relaxed NiOsW crystal, as listed in the Alexandria database.

The space group is I4mm (No. 107) and the conventional cell measures 2.746, 2.746 and 11.077 Å, with angles of 90.00, 90.00 and 90.00 degrees. The inequivalent atoms are Ni at (0.000, 0.000, 0.000), Os at (0.000, 0.000, 0.338) and W at (0.000, 0.000, 0.666).

The total magnetization is 0.0 μB per cell.

***

<ii>
First-principles (PBE) data for a relaxed NiOsW crystal, as listed in the Alexandria database.

The space group is P3m1 (No. 156) and the conventional cell measures 4.2677, 4.2677 and 2.6739 Å, with angles of 90.00, 90.00 and 120.00 degrees. The inequivalent atoms are Ni at (0.0000, 0.0000, 0.0000), Os at (0.6667, 0.3333, 0.4793) and W at (0.3333, 0.6667, 0.8832).

The total magnetization is 0.0 μB per cell.

***

Taking the most stable structure as the zero point, the relative energies in meV per atom are <i> 38; <ii> 0.

***

<i>
First-principles (PBE) data for a relaxed YNiOs2 crystal, as listed in the Alexandria database.

The space group is Imma (No. 74) and the conventional cell measures 4.256, 5.096 and 12.301 Å, with angles of 90.00, 90.00 and 90.00 degrees. The inequivalent atoms are Y at (0.000, 0.250, 0.150), Ni at (0.000, 0.250, 0.931), Os at (0.000, 0.000, 0.500) and Os at (0.000, 0.250, 0.696).

The total magnetization is 0.0 μB per cell.

***

<ii>
First-principles (PBE) data for a relaxed YNiOs2 crystal, as listed in the Alexandria database.

The space group is R3m (No. 160, hexagonal axes) and the conventional cell measures 2.8331, 2.8331 and 27.8442 Å, with angles of 90.00, 90.00 and 120.00 degrees. The inequivalent atoms are Y at (0.0000, 0.0000, 0.0000), Ni at (0.0000, 0.0000, 0.7546), Os at (0.0000, 0.0000, 0.2370) and Os at (0.0000, 0.0000, 0.4957).

The total magnetization is 0.8 μB per cell.

***

<iii>
First-principles (PBE) data for a relaxed YNiOs2 crystal, as listed in the Alexandria database.

The space group is C2/m (No. 12) and the conventional cell measures 10.965, 2.862 and 4.459 Å, with angles of 90.00, 113.81 and 90.00 degrees. The inequivalent atoms are Y at (0.000, 0.000, 0.000), Ni at (0.000, 0.500, 0.500) and Os at (0.216, 0.000, 0.717).

The total magnetization is 0.0 μB per cell.

***

<iv>
First-principles (PBE) data for a relaxed YNiOs2 crystal, as listed in the Alexandria database.

The space group is P1 (No. 1) and the conventional cell measures 4.806, 5.532 and 6.526 Å, with angles of 65.74, 88.68 and 67.22 degrees. The inequivalent atoms are Y at (0.000, 0.000, 0.000), Y at (0.353, 0.329, 0.544), Ni at (0.318, 0.327, 0.117), Ni at (0.418, 0.679, 0.792), Os at (0.033, 0.016, 0.423), Os at (0.606, 0.802, 0.393), Os at (0.728, 0.530, 0.165) and Os at (0.920, 0.659, 0.769).

The total magnetization is 0.0 μB per cell.

***

Taking the most stable structure as the zero point, the relative energies in meV per atom are <i> 0; <ii> 708; <iii> 372; <iv> 86.

***

<i>
First-principles (PBE) data for a relaxed Zn3NiOs crystal, as listed in the Alexandria database.

The space group is Pm-3m (No. 221) and the conventional cell measures 4.347, 4.347 and 4.347 Å, with angles of 90.00, 90.00 and 90.00 degrees. The inequivalent atoms are Zn at (0.000, 0.000, 0.500), Ni at (0.000, 0.000, 0.000) and Os at (0.500, 0.500, 0.500).

The total magnetization is 1.3 μB per cell.

***

<ii>
First-principles (PBE) data for a relaxed Zn3NiOs crystal, as listed in the Alexandria database.

The space group is Pm-3m (No. 221) and the conventional cell measures 4.747, 4.747 and 4.747 Å, with angles of 90.00, 90.00 and 90.00 degrees. The inequivalent atoms are Zn at (0.000, 0.000, 0.500), Ni at (0.500, 0.500, 0.500) and Os at (0.000, 0.000, 0.000).

The total magnetization is 1.2 μB per cell.

***

Taking the most stable structure as the zero point, the relative energies in meV per atom are <i> 0; <ii> 145.

***

<i>
First-principles (PBE) data for a relaxed ZnNiOs3 crystal, as listed in the Alexandria database.

The space group is Pm-3m (No. 221) and the conventional cell measures 4.443, 4.443 and 4.443 Å, with angles of 90.00, 90.00 and 90.00 degrees. The inequivalent atoms are Zn at (0.000, 0.000, 0.000), Ni at (0.500, 0.500, 0.500) and Os at (0.000, 0.000, 0.500).

The total magnetization is 2.7 μB per cell.

***

<ii>
First-principles (PBE) data for a relaxed ZnNiOs3 crystal, as listed in the Alexandria database.

The space group is Pm-3m (No. 221) and the conventional cell measures 4.433, 4.433 and 4.433 Å, with angles of 90.00, 90.00 and 90.00 degrees. The inequivalent atoms are Zn at (0.000, 0.000, 0.000), Ni at (0.500, 0.500, 0.500) and Os at (0.000, 0.500, 0.500).

The total magnetization is 3.0 μB per cell.

***

Taking the most stable structure as the zero point, the relative energies in meV per atom are <i> 426; <ii> 0.